(1)
! AsP2Ir PBE-GGA relaxed; values from VASP
! space-group type: Amm2
! density: 8.37 g cm⁻³
! final energy: -24.499 eV/cell
! ΔH_f (0 K): -0.042 eV per atom
&SYSTEM
  ibrav = 0, nat = 4, ntyp = 3
/
ATOMIC_SPECIES
As 74.92 As.upf
P 30.97 P.upf
Ir 192.22 Ir.upf
ATOMIC_POSITIONS angstrom
As 0.000 0.000 0.000
P 0.000 0.000 2.737
P 2.093 0.000 4.015
Ir 2.093 0.000 1.394
CELL_PARAMETERS angstrom
4.187 0.000 0.000
0.000 2.333 3.340
0.000 -2.333 3.340

---

(2)
! ZrMn2H PBE-GGA relaxed; values from VASP
! space-group type: Fd-3m
! density: 6.74 g cm⁻³
! final energy: -61.102 eV/cell
&SYSTEM
  ibrav = 0, nat = 8, ntyp = 3
/
ATOMIC_SPECIES
Zr 91.22 Zr.upf
Mn 54.94 Mn.upf
H 1.01 H.upf
ATOMIC_POSITIONS angstrom
Zr 0.920 0.920 0.920
Zr 6.437 6.437 6.437
Mn 3.678 1.839 1.839
Mn 1.839 3.678 1.839
Mn 1.839 1.839 3.678
Mn 3.678 3.678 3.678
H 2.759 2.759 2.759
H 4.598 4.598 4.598
CELL_PARAMETERS angstrom
0.000 3.678 3.678
3.678 0.000 3.678
3.678 3.678 0.000

---

(3)
! Sr2PPd PBE-GGA relaxed; values from VASP
! space-group type: P2_1/m
! density: 4.77 g cm⁻³
! final energy: -34.452 eV/cell
! ΔH_f (0 K): -0.815 eV per atom
&SYSTEM
  ibrav = 0, nat = 8, ntyp = 3
/
ATOMIC_SPECIES
Sr 87.62 Sr.upf
P 30.97 P.upf
Pd 106.42 Pd.upf
ATOMIC_POSITIONS angstrom
Sr 0.139 1.118 3.431
Sr 1.560 3.355 0.518
Sr 1.785 1.118 7.628
Sr 3.206 3.355 4.714
P 0.138 3.355 5.795
P 3.207 1.118 2.350
Pd -0.936 1.118 6.279
Pd 4.281 3.355 1.867
CELL_PARAMETERS angstrom
5.979 0.000 0.000
0.000 4.474 0.000
-2.634 0.000 8.146

---

(4)
! AcZnRh2 PBE-GGA relaxed; values from VASP
! space-group type: R-3m
! density: 9.51 g cm⁻³
! final energy: -22.117 eV/cell
! ΔH_f (0 K): -0.508 eV per atom
&SYSTEM
  ibrav = 0, nat = 4, ntyp = 3
/
ATOMIC_SPECIES
Ac 227.00 Ac.upf
Zn 65.41 Zn.upf
Rh 102.91 Rh.upf
ATOMIC_POSITIONS angstrom
Ac 0.000 0.000 0.000
Zn 0.000 0.000 7.442
Rh 0.000 0.000 2.890
Rh 0.000 0.000 11.993
CELL_PARAMETERS angstrom
2.250 1.299 4.961
-2.250 1.299 4.961
0.000 -2.598 4.961

---

(5)
! Sm2P3Rh12Au PBE-GGA relaxed; values from VASP
! space-group type: R-3m
! density: 9.65 g cm⁻³
! final energy: -119.941 eV/cell
! ΔH_f (0 K): -0.154 eV per atom
&SYSTEM
  ibrav = 0, nat = 18, ntyp = 4
/
ATOMIC_SPECIES
Sm 150.36 Sm.upf
P 30.97 P.upf
Rh 102.91 Rh.upf
Au 196.97 Au.upf
ATOMIC_POSITIONS angstrom
Sm 0.000 0.000 1.573
Sm 0.000 0.000 13.424
P -2.130 -1.230 4.999
P -2.130 1.230 9.998
P 0.000 2.459 4.999
Rh -2.219 -1.281 7.201
Rh 0.000 -2.064 4.585
Rh -1.787 1.032 4.585
Rh 0.000 -2.563 7.797
Rh -2.219 1.281 7.797
Rh -1.787 -1.032 10.412
Rh 1.787 1.032 4.585
Rh 2.219 -1.281 7.201
Rh 0.000 2.563 7.201
Rh 1.787 -1.032 10.412
Rh 0.000 2.064 10.412
Rh 2.219 1.281 7.797
Au 0.000 0.000 7.499
CELL_PARAMETERS angstrom
4.259 2.459 4.999
-4.259 2.459 4.999
0.000 -4.918 4.999

---

(6)
! InCSeBr2 PBE-GGA relaxed; values from VASP
! space-group type: P4/mmm
! density: 5.39 g cm⁻³
! final energy: -14.923 eV/cell
! formation energy from raw total energies: 3.87 eV/f.u.
&SYSTEM
  ibrav = 0, nat = 5, ntyp = 4
/
ATOMIC_SPECIES
In 114.82 In.upf
C 12.01 C.upf
Se 78.96 Se.upf
Br 79.90 Br.upf
ATOMIC_POSITIONS angstrom
In 0.000 0.000 0.000
C 2.522 2.522 2.215
Se 2.522 2.522 0.000
Br 0.000 2.522 2.215
Br 2.522 0.000 2.215
CELL_PARAMETERS angstrom
5.043 0.000 0.000
0.000 5.043 0.000
0.000 0.000 4.430